Material: BeIn
Method: DFT, PBE-GGA
State: optimized geometry

abc: 6.5106 6.5106 4.2081
angles: 104.75 104.75 25.54
Last column: nearest neighbours and their distance in Å.
Positions (direct):
Be 0.1864 0.1864 0.0264  2 Be 2.22
Be 0.8136 0.8136 0.9736  2 Be 2.22
In 0.3849 0.3849 0.5393  5 Be 2.66-2.86, 2 In 2.88
In 0.6151 0.6151 0.4607  5 Be 2.66-2.86, 2 In 2.88

## Properties
Theoretical density in g/cm3: 5.5
Electronic total energy in eV/atom: -2.745
Volume in Å³ per atom: 18.56
Polymorph energy (0 for the lowest one) in meV/atom: 202
Energy relative to the elements in eV/atom: 0.49
Spin magnetization in μB/f.u.: 0.00
Fermi-level density of states in states/eV/f.u.: 0.4

Material: CaCe2Ge2Au2
Method: DFT, PBE-GGA
State: optimized geometry

abc: 9.6040 9.6040 9.6040
angles: 26.94 26.94 26.94
Last column: nearest neighbours and their distance in Å.
Positions (direct):
Ca 0.0000 0.0000 0.0000  6 Au 3.26, 6 Ge 3.34
Ce 0.1403 0.1403 0.1403  3 Ce 2.97, 4 Ge 3.14-3.24, 3 Au 3.21
Ce 0.8597 0.8597 0.8597  3 Ce 2.97, 4 Ge 3.14-3.24, 3 Au 3.21
Ge 0.2572 0.2572 0.2572  3 Au 2.59
Ge 0.7428 0.7428 0.7428  3 Au 2.59
Au 0.4051 0.4051 0.4051  3 Ge 2.59
Au 0.5949 0.5949 0.5949  3 Ge 2.59

## Properties
Theoretical density in g/cm3: 8.9
Electronic total energy in eV/atom: -4.824
Volume in Å³ per atom: 22.91
Energy relative to the elements in eV/atom: -0.59
Spin magnetization in μB/f.u.: 1.98
Fermi-level density of states in states/eV/f.u.: 8.8

Material: HRu
Method: DFT, PBE-GGA
State: optimized geometry

abc: 6.9048 6.9048 2.7437
angles: 90.00 90.00 120.00
Last column: nearest neighbours and their distance in Å.
Positions (direct):
H 0.1609 0.5094 0.2500  4 Ru 1.89-1.97, 2 H 1.98
H 0.3486 0.8391 0.2500  4 Ru 1.89-1.97, 2 H 1.98
H 0.4906 0.6514 0.2500  4 Ru 1.89-1.97, 2 H 1.98
H 0.5094 0.3486 0.7500  4 Ru 1.89-1.97, 2 H 1.98
H 0.6514 0.1609 0.7500  4 Ru 1.89-1.97, 2 H 1.98
H 0.8391 0.4906 0.7500  4 Ru 1.89-1.97, 2 H 1.98
Ru 0.0188 0.6862 0.2500  4 H 1.89-1.97
Ru 0.3138 0.3326 0.2500  4 H 1.89-1.97
Ru 0.3326 0.0188 0.7500  4 H 1.89-1.97
Ru 0.6674 0.9812 0.2500  4 H 1.89-1.97
Ru 0.6862 0.6674 0.7500  4 H 1.89-1.97
Ru 0.9812 0.3138 0.7500  4 H 1.89-1.97

## Properties
Theoretical density in g/cm3: 9.0
Electronic total energy in eV/atom: -5.974
Volume in Å³ per atom: 9.44
Spin magnetization in μB/f.u.: 0.00
Fermi-level density of states in states/eV/f.u.: 1.3

Material: BeP2Br
Method: DFT, PBE-GGA
State: optimized geometry

abc: 4.5248 4.5248 4.5248
angles: 60.00 60.00 60.00
Last column: nearest neighbours and their distance in Å.
Positions (direct):
Be 0.0000 0.0000 0.0000  8 P 2.77
P 0.2500 0.2500 0.2500  4 Br 2.77, 4 Be 2.77
P 0.7500 0.7500 0.7500  4 Be 2.77, 4 Br 2.77
Br 0.5000 0.5000 0.5000  8 P 2.77

## Properties
Theoretical density in g/cm3: 3.8
Electronic total energy in eV/atom: -2.909
Volume in Å³ per atom: 16.38
Polymorph energy (0 for the lowest one) in meV/atom: 1379
Spin magnetization in μB/f.u.: 0.00
Fermi-level density of states in states/eV/f.u.: 4.1

Material: Sm3Ho
Method: DFT, PBE-GGA
State: optimized geometry

abc: 6.8437 6.8437 6.8437
angles: 149.01 64.40 125.08
Last column: nearest neighbours and their distance in Å.
Positions (direct):
Sm 0.0000 0.0000 0.0000  8 Sm 3.56-3.66, 4 Ho 3.64-3.66
Sm 0.4185 0.6669 0.7516  9 Sm 3.56-3.66, 3 Ho 3.57-3.59
Sm 0.9153 0.6669 0.2484  9 Sm 3.56-3.66, 3 Ho 3.57-3.59
Ho 0.4983 0.9983 0.5000  10 Sm 3.57-3.66, 2 Ho 3.66

## Properties
Theoretical density in g/cm3: 7.7
Electronic total energy in eV/atom: -4.659
Volume in Å³ per atom: 33.41
Polymorph energy (0 for the lowest one) in meV/atom: 10
Energy relative to the elements in eV/atom: 0.02
Spin magnetization in μB/f.u.: 0.00
Fermi-level density of states in states/eV/f.u.: 7.0

Material: BaTaCd2
Method: DFT, PBE-GGA
State: optimized geometry

abc: 6.5734 6.5734 6.5734
angles: 152.39 127.76 60.10
Last column: nearest neighbours and their distance in Å.
Positions (direct):
Ba 0.0000 0.0000 0.0000  2 Ba 3.14, 4 Cd 3.29, 2 Ta 3.46
Ta 0.7286 0.2286 0.5000  2 Cd 2.94, 2 Ta 3.14
Cd 0.2769 0.7769 0.5000  4 Cd 3.08-3.14, 4 Ta 3.34
Cd 0.5100 0.5100 0.0000  2 Ta 2.94, 4 Cd 3.08-3.14, 4 Ba 3.29

## Properties
Theoretical density in g/cm3: 8.7
Electronic total energy in eV/atom: -3.301
Volume in Å³ per atom: 25.83
Polymorph energy (0 for the lowest one) in meV/atom: 281
Energy relative to the elements in eV/atom: 0.60
Spin magnetization in μB/f.u.: 0.42
Fermi-level density of states in states/eV/f.u.: 4.0

Material: LiNb2PtF
Method: DFT, PBE-GGA
State: optimized geometry

abc: 4.1614 4.1614 4.8143
angles: 90.00 90.00 90.00
Last column: nearest neighbours and their distance in Å.
Positions (direct):
Li 0.0000 0.0000 0.0000  4 Pt 2.94, 8 Nb 3.18
Nb 0.0000 0.5000 0.5000  2 F 2.08
Nb 0.5000 0.0000 0.5000  2 F 2.08
Pt 0.5000 0.5000 0.0000  2 F 2.41
F 0.5000 0.5000 0.5000  4 Nb 2.08

## Properties
Theoretical density in g/cm3: 8.1
Electronic total energy in eV/atom: -5.934
Volume in Å³ per atom: 16.67
Spin magnetization in μB/f.u.: 0.00
Fermi-level density of states in states/eV/f.u.: 4.4

Material: YAg3
Method: DFT, PBE-GGA
State: optimized geometry

abc: 6.2974 6.2974 4.8973
angles: 90.00 90.00 120.08
Last column: nearest neighbours and their distance in Å.
Positions (direct):
Y 0.1671 0.8329 0.7500  12 Ag 3.11-3.15
Y 0.8329 0.1671 0.2500  12 Ag 3.11-3.15
Ag 0.1847 0.3418 0.7500  8 Ag 2.97-3.32, 4 Y 3.11-3.15
Ag 0.3418 0.1847 0.2500  8 Ag 2.97-3.32, 4 Y 3.11-3.15
Ag 0.3428 0.6572 0.2500  8 Ag 2.97-3.32, 4 Y 3.11-3.15
Ag 0.6572 0.3428 0.7500  8 Ag 2.97-3.32, 4 Y 3.11-3.15
Ag 0.6582 0.8153 0.7500  8 Ag 2.97-3.32, 4 Y 3.11-3.15
Ag 0.8153 0.6582 0.2500  8 Ag 2.97-3.32, 4 Y 3.11-3.15

## Properties
Theoretical density in g/cm3: 8.2
Electronic total energy in eV/atom: -3.966
Volume in Å³ per atom: 21.01
Energy relative to the elements in eV/atom: -0.21
Spin magnetization in μB/f.u.: 0.00
Fermi-level density of states in states/eV/f.u.: 2.2

Material: KLiSe2
Method: DFT, PBE-GGA
State: optimized geometry

abc: 5.0507 5.0507 4.8087
angles: 90.00 90.00 113.48
Last column: nearest neighbours and their distance in Å.
Positions (direct):
K 0.0000 0.0000 0.0000  8 Se 3.49, 4 Li 3.67
Li 0.5000 0.5000 0.5000  4 Se 2.53
Se 0.0000 0.5000 0.5000  2 Li 2.53, 2 Se 2.77
Se 0.5000 0.0000 0.5000  2 Li 2.53, 2 Se 2.77

## Properties
Theoretical density in g/cm3: 3.0
Electronic total energy in eV/atom: -3.366
Volume in Å³ per atom: 28.13
Spin magnetization in μB/f.u.: 0.00
Fermi-level density of states in states/eV/f.u.: 2.3

Material: ZrSiAg2
Method: DFT, PBE-GGA
State: optimized geometry

abc: 5.4590 5.4590 5.4590
angles: 137.51 137.51 61.65
Last column: nearest neighbours and their distance in Å.
Positions (direct):
Zr 0.0000 0.0000 0.0000  4 Si 2.80, 8 Ag 3.07
Si 0.5000 0.5000 0.0000  4 Zr 2.80, 8 Ag 3.07
Ag 0.2500 0.7500 0.5000  4 Ag 2.80, 4 Zr 3.07, 4 Si 3.07
Ag 0.7500 0.2500 0.5000  4 Ag 2.80, 4 Zr 3.07, 4 Si 3.07

## Properties
Theoretical density in g/cm3: 7.6
Electronic total energy in eV/atom: -5.025
Volume in Å³ per atom: 18.34
Spin magnetization in μB/f.u.: 0.00
Fermi-level density of states in states/eV/f.u.: 2.4

Material: CaTlClF2
Method: DFT, PBE-GGA
State: optimized geometry

abc: 4.5022 4.5022 5.6151
angles: 90.00 90.00 90.00
Last column: nearest neighbours and their distance in Å.
Positions (direct):
Ca 0.0000 0.0000 0.0000  4 F 2.25
Tl 0.5000 0.5000 0.5000  4 Cl 3.18
Cl 0.0000 0.0000 0.5000  2 Ca 2.81
F 0.0000 0.5000 0.0000  2 Ca 2.25
F 0.5000 0.0000 0.0000  2 Ca 2.25

## Properties
Theoretical density in g/cm3: 4.6
Electronic total energy in eV/atom: -4.626
Volume in Å³ per atom: 22.76
Spin magnetization in μB/f.u.: 0.00
Fermi-level density of states in states/eV/f.u.: 0.0

Material: Rb3Tb3SnS8
Method: DFT, PBE-GGA
State: optimized geometry

abc: 9.1264 9.1264 9.1264
angles: 52.18 52.18 52.18
Last column: nearest neighbours and their distance in Å.
Positions (direct):
Rb 0.0000 0.5000 0.5000  6 S 3.35-3.36
Rb 0.5000 0.0000 0.5000  6 S 3.35-3.36
Rb 0.5000 0.5000 0.0000  6 S 3.35-3.36
Tb 0.0000 0.0000 0.5000  6 S 2.76-2.79
Tb 0.0000 0.5000 0.0000  6 S 2.76-2.79
Tb 0.5000 0.0000 0.0000  6 S 2.76-2.79
Sn 0.5000 0.5000 0.5000  6 S 2.64
S 0.2301 0.2301 0.2301  3 Tb 2.76
S 0.2450 0.7204 0.7204  1 Sn 2.64, 2 Tb 2.79
S 0.2796 0.2796 0.7550  1 Sn 2.64, 2 Tb 2.79
S 0.2796 0.7550 0.2796  1 Sn 2.64, 2 Tb 2.79
S 0.7204 0.2450 0.7204  1 Sn 2.64, 2 Tb 2.79
S 0.7204 0.7204 0.2450  1 Sn 2.64, 2 Tb 2.79
S 0.7550 0.2796 0.2796  1 Sn 2.64, 2 Tb 2.79
S 0.7699 0.7699 0.7699  3 Tb 2.76

## Properties
Theoretical density in g/cm3: 4.2
Electronic total energy in eV/atom: -5.139
Volume in Å³ per atom: 29.25
Spin magnetization in μB/f.u.: 0.00